1.
# LiBeAl2Au4 (PBE, optimized geometry)
data_LiBeAl2Au4
_chemical_formula_sum 'Li3 Be3 Al6 Au12'
_cell_length_a 4.4288
_cell_length_b 4.4288
_cell_length_c 21.7030
_cell_angle_alpha 90.00
_cell_angle_beta 90.00
_cell_angle_gamma 120.00
_symmetry_space_group_name_H-M 'R -3 m'
_symmetry_Int_Tables_number 166
_symmetry_space_group_name_Hall '-R 3 2"'
loop_
_atom_site_label
_atom_site_fract_x
_atom_site_fract_y
_atom_site_fract_z
Li1 0.0000 0.0000 0.0000
Be1 0.0000 0.0000 0.5000
Al1 0.0000 0.0000 0.2541
Au1 0.0000 0.0000 0.1291
Au2 0.0000 0.0000 0.3822
# * mass density: 11.591 g/cm3
# * total magnetic moment: 0.00 μB per formula unit
# * E_form: -8.55 kcal/mol of atoms

---

2.
# LiBeAl2Au5 (PBE, optimized geometry)
data_LiBeAl2Au5
_chemical_formula_sum 'Li2 Be2 Al4 Au10'
_cell_length_a 4.4341
_cell_length_b 5.6638
_cell_length_c 13.3202
_cell_angle_alpha 90.00
_cell_angle_beta 90.00
_cell_angle_gamma 90.00
_symmetry_space_group_name_H-M 'I m m m'
_symmetry_Int_Tables_number 71
_symmetry_space_group_name_Hall '-I 2 2'
loop_
_atom_site_label
_atom_site_fract_x
_atom_site_fract_y
_atom_site_fract_z
Li1 0.0000 0.0000 0.0000
Be1 0.0000 0.0000 0.5000
Al1 0.0000 0.5000 0.1955
Au1 0.0000 0.2556 0.3594
Au2 0.0000 0.5000 0.0000
# * mass density: 10.471 g/cm3
# * total magnetic moment: 0.00 μB per formula unit
# * E_form: -5.20 kcal/mol of atoms

---

3.
# Li2Be2AlAu5 (PBE, optimized geometry)
data_Li2Be2AlAu5
_chemical_formula_sum 'Li4 Be4 Al2 Au10'
_cell_length_a 9.8686
_cell_length_b 9.8686
_cell_length_c 3.2286
_cell_angle_alpha 90.00
_cell_angle_beta 90.00
_cell_angle_gamma 90.00
_symmetry_space_group_name_H-M 'P 4/m b m'
_symmetry_Int_Tables_number 127
_symmetry_space_group_name_Hall '-P 4 2ab'
loop_
_atom_site_label
_atom_site_fract_x
_atom_site_fract_y
_atom_site_fract_z
Li1 0.1714 0.3286 0.0000
Be1 0.1248 0.6248 0.0000
Al1 0.0000 0.0000 0.0000
Au1 0.0000 0.5000 0.5000
Au2 0.0805 0.7974 0.5000
# * mass density: 11.024 g/cm3
# * total magnetic moment: 0.00 μB per formula unit
# * E_form: -8.59 kcal/mol of atoms

---

4.
# Mg2BeAlAu6 (PBE, optimized geometry)
data_Mg2BeAlAu6
_chemical_formula_sum 'Mg2 Be1 Al1 Au6'
_cell_length_a 5.6443
_cell_length_b 5.6766
_cell_length_c 8.0393
_cell_angle_alpha 70.26
_cell_angle_beta 70.22
_cell_angle_gamma 60.62
_symmetry_space_group_name_H-M 'P -1'
_symmetry_Int_Tables_number 2
_symmetry_space_group_name_Hall '-P 1'
loop_
_atom_site_label
_atom_site_fract_x
_atom_site_fract_y
_atom_site_fract_z
Mg1 0.2094 0.2046 0.3787
Be1 0.5000 0.5000 0.5000
Al1 0.0000 0.0000 0.0000
Au1 0.2427 0.7402 0.2723
Au2 0.2561 0.2604 0.7284
Au3 0.2567 0.7616 0.7247
# * mass density: 10.183 g/cm3
# * total magnetic moment: 0.00 μB per formula unit
# * E_form: -5.62 kcal/mol of atoms

---

5.
# MgBeAl2Au4 (PBE, optimized geometry)
data_MgBeAl2Au4
_chemical_formula_sum 'Mg3 Be3 Al6 Au12'
_cell_length_a 4.4990
_cell_length_b 4.4990
_cell_length_c 22.0435
_cell_angle_alpha 90.00
_cell_angle_beta 90.00
_cell_angle_gamma 120.00
_symmetry_space_group_name_H-M 'R -3 m'
_symmetry_Int_Tables_number 166
_symmetry_space_group_name_Hall '-R 3 2"'
loop_
_atom_site_label
_atom_site_fract_x
_atom_site_fract_y
_atom_site_fract_z
Mg1 0.0000 0.0000 0.0000
Be1 0.0000 0.0000 0.5000
Al1 0.0000 0.0000 0.2523
Au1 0.0000 0.0000 0.1307
Au2 0.0000 0.0000 0.3867
# * mass density: 11.282 g/cm3
# * total magnetic moment: 0.00 μB per formula unit
# * E_form: -7.51 kcal/mol of atoms

---

6.
# Na2Be3AlAu12 (PBE, optimized geometry)
data_Na2Be3AlAu12
_chemical_formula_sum 'Na6 Be9 Al3 Au36'
_cell_length_a 8.2233
_cell_length_b 8.2233
_cell_length_c 18.8023
_cell_angle_alpha 90.00
_cell_angle_beta 90.00
_cell_angle_gamma 120.00
_symmetry_space_group_name_H-M 'R -3 m'
_symmetry_Int_Tables_number 166
_symmetry_space_group_name_Hall '-R 3 2"'
loop_
_atom_site_label
_atom_site_fract_x
_atom_site_fract_y
_atom_site_fract_z
Na1 0.0000 0.0000 0.1047
Be1 0.0000 0.5000 0.0000
Al1 0.0000 0.0000 0.5000
Au1 0.0008 0.5004 0.8773
Au2 0.0346 0.5173 0.3644
# * mass density: 11.146 g/cm3
# * total magnetic moment: 0.00 μB per formula unit
# * E_form: -1.56 kcal/mol of atoms

---

Q: Which of these has the lowest mass density?
A: Mg2BeAlAu6

---

Please write out number 2 again, unchanged.
# LiBeAl2Au5 (PBE, optimized geometry)
data_LiBeAl2Au5
_chemical_formula_sum 'Li2 Be2 Al4 Au10'
_cell_length_a 4.4341
_cell_length_b 5.6638
_cell_length_c 13.3202
_cell_angle_alpha 90.00
_cell_angle_beta 90.00
_cell_angle_gamma 90.00
_symmetry_space_group_name_H-M 'I m m m'
_symmetry_Int_Tables_number 71
_symmetry_space_group_name_Hall '-I 2 2'
loop_
_atom_site_label
_atom_site_fract_x
_atom_site_fract_y
_atom_site_fract_z
Li1 0.0000 0.0000 0.0000
Be1 0.0000 0.0000 0.5000
Al1 0.0000 0.5000 0.1955
Au1 0.0000 0.2556 0.3594
Au2 0.0000 0.5000 0.0000
# * mass density: 10.471 g/cm3
# * total magnetic moment: 0.00 μB per formula unit
# * E_form: -5.20 kcal/mol of atoms